[1]
# PBE Ce2Th3ZrN6, relaxed
data_Ce2Th3ZrN6
_chemical_formula_sum 'Ce4 Th6 Zr2 N12'
_cell_length_a 6.174
_cell_length_b 10.681
_cell_length_c 6.164
_cell_angle_alpha 90.00
_cell_angle_beta 109.46
_cell_angle_gamma 90.00
_space_group_name_H-M_alt 'C 1 2/m 1'
_space_group_IT_number 12
_space_group_name_Hall '-C 2y'
loop_
_atom_site_label
_atom_site_fract_x
_atom_site_fract_y
_atom_site_fract_z
_atom_site_occupancy
Ce1 0.000 0.166 0.000 1
Th1 0.000 0.000 0.500 1
Th2 0.000 0.333 0.500 1
Zr1 0.000 0.500 0.000 1
N1 0.235 0.342 0.233 1
N2 0.236 0.500 0.760 1
# Crystal system: monoclinic



[2]
# PBE Ce3Th2ZrN6, relaxed
data_Ce3Th2ZrN6
_chemical_formula_sum 'Ce6 Th4 Zr2 N12'
_cell_length_a 6.163
_cell_length_b 10.670
_cell_length_c 6.131
_cell_angle_alpha 90.00
_cell_angle_beta 109.53
_cell_angle_gamma 90.00
_space_group_name_H-M_alt 'C 1 2/m 1'
_space_group_IT_number 12
_space_group_name_Hall '-C 2y'
loop_
_atom_site_label
_atom_site_fract_x
_atom_site_fract_y
_atom_site_fract_z
_atom_site_occupancy
Ce1 0.000 0.000 0.000 1
Ce2 0.000 0.335 0.000 1
Th1 0.000 0.167 0.500 1
Zr1 0.000 0.500 0.500 1
N1 0.235 0.500 0.258 1
N2 0.237 0.342 0.738 1
# Crystal system: monoclinic



[3]
# PBE CeTh2ZrN4, relaxed
data_CeTh2ZrN4
_chemical_formula_sum 'Ce1 Th2 Zr1 N4'
_cell_length_a 6.133
_cell_length_b 3.503
_cell_length_c 6.142
_cell_angle_alpha 90.00
_cell_angle_beta 109.02
_cell_angle_gamma 90.00
_space_group_name_H-M_alt 'P 1 2/m 1'
_space_group_IT_number 10
_space_group_name_Hall '-P 2y'
loop_
_atom_site_label
_atom_site_fract_x
_atom_site_fract_y
_atom_site_fract_z
_atom_site_occupancy
Ce1 0.000 0.000 0.000 1
Th1 0.000 0.500 0.500 1
Th2 0.500 0.000 0.500 1
Zr1 0.500 0.500 0.000 1
N1 0.261 0.500 0.232 1
N2 0.272 0.000 0.774 1
# Crystal system: monoclinic



[4]
# PBE Ce5TiN6, relaxed
data_Ce5TiN6
_chemical_formula_sum 'Ce10 Ti2 N12'
_cell_length_a 6.019
_cell_length_b 10.402
_cell_length_c 6.009
_cell_angle_alpha 90.00
_cell_angle_beta 109.47
_cell_angle_gamma 90.00
_space_group_name_H-M_alt 'C 1 2/m 1'
_space_group_IT_number 12
_space_group_name_Hall '-C 2y'
loop_
_atom_site_label
_atom_site_fract_x
_atom_site_fract_y
_atom_site_fract_z
_atom_site_occupancy
Ce1 0.000 0.000 0.000 1
Ce2 0.000 0.167 0.500 1
Ce3 0.000 0.334 0.000 1
Ti1 0.000 0.500 0.500 1
N1 0.229 0.347 0.729 1
N2 0.230 0.500 0.263 1
# Crystal system: monoclinic



[5]
# PBE CeTi4N6, relaxed
data_CeTi4N6
_chemical_formula_sum 'Ce4 Ti16 N24'
_cell_length_a 3.062
_cell_length_b 10.003
_cell_length_c 15.411
_cell_angle_alpha 90.00
_cell_angle_beta 90.00
_cell_angle_gamma 90.00
_space_group_name_H-M_alt 'C m c m'
_space_group_IT_number 63
_space_group_name_Hall '-C 2c 2'
loop_
_atom_site_label
_atom_site_fract_x
_atom_site_fract_y
_atom_site_fract_z
_atom_site_occupancy
Ce1 0.000 0.156 0.250 1
Ti1 0.000 0.102 0.629 1
Ti2 0.000 0.366 0.547 1
N1 0.000 0.000 0.000 1
N2 0.000 0.163 0.750 1
N3 0.000 0.269 0.084 1
N4 0.000 0.462 0.656 1
# Crystal system: orthorhombic



[6]
# PBE CeTiN2, relaxed
data_CeTiN2
_chemical_formula_sum 'Ce3 Ti3 N6'
_cell_length_a 3.1628
_cell_length_b 3.1628
_cell_length_c 17.3161
_cell_angle_alpha 90.00
_cell_angle_beta 90.00
_cell_angle_gamma 120.00
_space_group_name_H-M_alt 'R 3 m'
_space_group_IT_number 160
_space_group_name_Hall 'R 3 -2"'
loop_
_atom_site_label
_atom_site_fract_x
_atom_site_fract_y
_atom_site_fract_z
_atom_site_occupancy
Ce1 0.0000 0.0000 0.0000 1
Ti1 0.0000 0.0000 0.8249 1
N1 0.0000 0.0000 0.4262 1
N2 0.0000 0.0000 0.5681 1
# Crystal system: trigonal



[7]
# PBE CeTiN3, relaxed
data_CeTiN3
_chemical_formula_sum 'Ce2 Ti2 N6'
_cell_length_a 5.6176
_cell_length_b 5.6176
_cell_length_c 5.1803
_cell_angle_alpha 90.00
_cell_angle_beta 90.00
_cell_angle_gamma 120.00
_space_group_name_H-M_alt 'P 63 2 2'
_space_group_IT_number 182
_space_group_name_Hall 'P 6c 2c'
loop_
_atom_site_label
_atom_site_fract_x
_atom_site_fract_y
_atom_site_fract_z
_atom_site_occupancy
Ce1 0.3333 0.6667 0.2500 1
Ti1 0.0000 0.0000 0.2500 1
N1 0.0000 0.2854 0.5000 1
# Crystal system: hexagonal



[8]
# PBE CeUTiN3, relaxed
data_CeUTiN3
_chemical_formula_sum 'Ce2 U2 Ti2 N6'
_cell_length_a 7.213
_cell_length_b 3.251
_cell_length_c 8.015
_cell_angle_alpha 90.00
_cell_angle_beta 91.38
_cell_angle_gamma 90.00
_space_group_name_H-M_alt 'P 1 21/m 1'
_space_group_IT_number 11
_space_group_name_Hall '-P 2yb'
loop_
_atom_site_label
_atom_site_fract_x
_atom_site_fract_y
_atom_site_fract_z
_atom_site_occupancy
Ce1 0.122 0.250 0.336 1
U1 0.389 0.750 0.666 1
Ti1 0.142 0.250 0.935 1
N1 0.135 0.750 0.089 1
N2 0.159 0.250 0.666 1
N3 0.390 0.750 0.395 1
# Crystal system: monoclinic



[9]
# PBE Ce2TiVN5, relaxed
data_Ce2TiVN5
_chemical_formula_sum 'Ce8 Ti4 V4 N20'
_cell_length_a 3.310
_cell_length_b 13.073
_cell_length_c 10.086
_cell_angle_alpha 90.00
_cell_angle_beta 90.00
_cell_angle_gamma 90.00
_space_group_name_H-M_alt 'C m c 21'
_space_group_IT_number 36
_space_group_name_Hall 'C 2c -2'
loop_
_atom_site_label
_atom_site_fract_x
_atom_site_fract_y
_atom_site_fract_z
_atom_site_occupancy
Ce1 0.000 0.112 0.000 1
Ce2 0.000 0.145 0.614 1
Ti1 0.000 0.213 0.324 1
V1 0.000 0.468 0.776 1
N1 0.000 0.050 0.362 1
N2 0.000 0.283 0.968 1
N3 0.000 0.318 0.696 1
N4 0.000 0.367 0.315 1
N5 0.000 0.493 0.102 1
# Crystal system: orthorhombic



[10]
# PBE Ce2YTiN5, relaxed
data_Ce2YTiN5
_chemical_formula_sum 'Ce8 Y4 Ti4 N20'
_cell_length_a 3.505
_cell_length_b 13.551
_cell_length_c 11.170
_cell_angle_alpha 90.00
_cell_angle_beta 90.00
_cell_angle_gamma 90.00
_space_group_name_H-M_alt 'C m c 21'
_space_group_IT_number 36
_space_group_name_Hall 'C 2c -2'
loop_
_atom_site_label
_atom_site_fract_x
_atom_site_fract_y
_atom_site_fract_z
_atom_site_occupancy
Ce1 0.000 0.128 0.000 1
Ce2 0.000 0.132 0.535 1
Y1 0.000 0.231 0.277 1
Ti1 0.000 0.497 0.775 1
N1 0.000 0.057 0.328 1
N2 0.000 0.282 0.932 1
N3 0.000 0.286 0.632 1
N4 0.000 0.385 0.365 1
N5 0.000 0.466 0.108 1
# Crystal system: orthorhombic



[11]
# PBE CeZrTiN3, relaxed
data_CeZrTiN3
_chemical_formula_sum 'Ce2 Zr2 Ti2 N6'
_cell_length_a 6.958
_cell_length_b 3.220
_cell_length_c 8.097
_cell_angle_alpha 90.00
_cell_angle_beta 92.94
_cell_angle_gamma 90.00
_space_group_name_H-M_alt 'P 1 21/m 1'
_space_group_IT_number 11
_space_group_name_Hall '-P 2yb'
loop_
_atom_site_label
_atom_site_fract_x
_atom_site_fract_y
_atom_site_fract_z
_atom_site_occupancy
Ce1 0.137 0.250 0.175 1
Zr1 0.372 0.750 0.864 1
Ti1 0.144 0.250 0.577 1
N1 0.145 0.750 0.428 1
N2 0.148 0.250 0.845 1
N3 0.397 0.750 0.127 1
# Crystal system: monoclinic



[12]
# PBE Ce2TlN, relaxed
data_Ce2TlN
_chemical_formula_sum 'Ce6 Tl3 N3'
_cell_length_a 3.5270
_cell_length_b 3.5270
_cell_length_c 25.2663
_cell_angle_alpha 90.00
_cell_angle_beta 90.00
_cell_angle_gamma 120.00
_space_group_name_H-M_alt 'R 3 m'
_space_group_IT_number 160
_space_group_name_Hall 'R 3 -2"'
loop_
_atom_site_label
_atom_site_fract_x
_atom_site_fract_y
_atom_site_fract_z
_atom_site_occupancy
Ce1 0.0000 0.0000 0.0000 1
Ce2 0.0000 0.0000 0.2225 1
Tl1 0.0000 0.0000 0.4447 1
N1 0.0000 0.0000 0.6101 1
# Crystal system: trigonal



[13]
# PBE CeTlN, relaxed
data_CeTlN
_chemical_formula_sum 'Ce2 Tl2 N2'
_cell_length_a 3.386
_cell_length_b 3.386
_cell_length_c 12.342
_cell_angle_alpha 90.00
_cell_angle_beta 90.00
_cell_angle_gamma 90.00
_space_group_name_H-M_alt 'I 4 m m'
_space_group_IT_number 107
_space_group_name_Hall 'I 4 -2'
loop_
_atom_site_label
_atom_site_fract_x
_atom_site_fract_y
_atom_site_fract_z
_atom_site_occupancy
Ce1 0.000 0.000 0.000 1
Tl1 0.000 0.000 0.274 1
N1 0.000 0.000 0.483 1
# Offset from the most stable computed form (meV per atom): 353
# Crystal system: tetragonal



[14]
# PBE CeTlN, relaxed
data_CeTlN
_chemical_formula_sum 'Ce2 Tl2 N2'
_cell_length_a 4.051
_cell_length_b 4.051
_cell_length_c 8.397
_cell_angle_alpha 90.00
_cell_angle_beta 90.00
_cell_angle_gamma 90.00
_space_group_name_H-M_alt 'P 4/n m m'
_space_group_IT_number 129
loop_
_space_group_symop_operation_xyz
'x,y,z'
'-x,-y,-z'
'-y+1/2,x,z'
'y+1/2,-x,-z'
'-x+1/2,-y+1/2,z'
'x+1/2,y+1/2,-z'
'y,-x+1/2,z'
'-y,x+1/2,-z'
'x+1/2,-y,-z'
'-x+1/2,y,z'
'-y,-x,-z'
'y,x,z'
'-x,y+1/2,-z'
'x,-y+1/2,z'
'y+1/2,x+1/2,-z'
'-y+1/2,-x+1/2,z'
loop_
_atom_site_label
_atom_site_fract_x
_atom_site_fract_y
_atom_site_fract_z
_atom_site_occupancy
Ce1 0.250 0.250 0.126 1
Tl1 0.250 0.250 0.602 1
N1 0.250 0.750 0.000 1
# Offset from the most stable computed form (meV per atom): 0
# Crystal system: tetragonal



[15]
# PBE Ce2TlN, relaxed
data_Ce2TlN
_chemical_formula_sum 'Ce6 Tl3 N3'
_cell_length_a 3.5559
_cell_length_b 3.5559
_cell_length_c 25.0910
_cell_angle_alpha 90.00
_cell_angle_beta 90.00
_cell_angle_gamma 120.00
_space_group_name_H-M_alt 'R -3 m'
_space_group_IT_number 166
_space_group_name_Hall '-R 3 2"'
loop_
_atom_site_label
_atom_site_fract_x
_atom_site_fract_y
_atom_site_fract_z
_atom_site_occupancy
Ce1 0.0000 0.0000 0.2222 1
Tl1 0.0000 0.0000 0.0000 1
N1 0.0000 0.0000 0.5000 1
# Crystal system: trigonal



[16]
# PBE CeTlN, relaxed
data_CeTlN
_chemical_formula_sum 'Ce1 Tl1 N1'
_cell_length_a 3.8459
_cell_length_b 3.8459
_cell_length_c 5.7516
_cell_angle_alpha 90.00
_cell_angle_beta 90.00
_cell_angle_gamma 120.00
_space_group_name_H-M_alt 'P 3 m 1'
_space_group_IT_number 156
_space_group_name_Hall 'P 3 -2"'
loop_
_atom_site_label
_atom_site_fract_x
_atom_site_fract_y
_atom_site_fract_z
_atom_site_occupancy
Ce1 0.0000 0.0000 0.0000 1
Tl1 0.3333 0.6667 0.4992 1
N1 0.6667 0.3333 0.9937 1
# Offset from the most stable computed form (meV per atom): 348
# Crystal system: trigonal



[17]
# PBE Ce4TlN, relaxed
data_Ce4TlN
_chemical_formula_sum 'Ce16 Tl4 N4'
_cell_length_a 14.408
_cell_length_b 6.015
_cell_length_c 6.830
_cell_angle_alpha 90.00
_cell_angle_beta 105.28
_cell_angle_gamma 90.00
_space_group_name_H-M_alt 'C 1 2/c 1'
_space_group_IT_number 15
_space_group_name_Hall '-C 2yc'
loop_
_atom_site_label
_atom_site_fract_x
_atom_site_fract_y
_atom_site_fract_z
_atom_site_occupancy
Ce1 0.091 0.073 0.469 1
Ce2 0.199 0.410 0.156 1
Tl1 0.000 0.429 0.750 1
N1 0.250 0.250 0.500 1
# Crystal system: monoclinic



[18]
# PBE Ce2TlN, relaxed
data_Ce2TlN
_chemical_formula_sum 'Ce2 Tl1 N1'
_cell_length_a 3.151
_cell_length_b 3.151
_cell_length_c 8.160
_cell_angle_alpha 90.00
_cell_angle_beta 90.00
_cell_angle_gamma 90.00
_space_group_name_H-M_alt 'P 4/m m m'
_space_group_IT_number 123
_space_group_name_Hall '-P 4 2'
loop_
_atom_site_label
_atom_site_fract_x
_atom_site_fract_y
_atom_site_fract_z
_atom_site_occupancy
Ce1 0.000 0.000 0.177 1
Tl1 0.500 0.500 0.500 1
N1 0.500 0.500 0.000 1
# Crystal system: tetragonal



[19]
# PBE CeY2TlN, relaxed
data_CeY2TlN
_chemical_formula_sum 'Ce1 Y2 Tl1 N1'
_cell_length_a 4.882
_cell_length_b 4.882
_cell_length_c 4.867
_cell_angle_alpha 90.00
_cell_angle_beta 90.00
_cell_angle_gamma 90.00
_space_group_name_H-M_alt 'P 4/m m m'
_space_group_IT_number 123
_space_group_name_Hall '-P 4 2'
loop_
_atom_site_label
_atom_site_fract_x
_atom_site_fract_y
_atom_site_fract_z
_atom_site_occupancy
Ce1 0.000 0.000 0.000 1
Y1 0.000 0.500 0.500 1
Tl1 0.500 0.500 0.000 1
N1 0.000 0.000 0.500 1
# Crystal system: tetragonal



[20]
# PBE CeTm4N5, relaxed
data_CeTm4N5
_chemical_formula_sum 'Ce2 Tm8 N10'
_cell_length_a 7.680
_cell_length_b 7.680
_cell_length_c 4.854
_cell_angle_alpha 90.00
_cell_angle_beta 90.00
_cell_angle_gamma 90.00
_space_group_name_H-M_alt 'I 4/m'
_space_group_IT_number 87
_space_group_name_Hall '-I 4'
loop_
_atom_site_label
_atom_site_fract_x
_atom_site_fract_y
_atom_site_fract_z
_atom_site_occupancy
Ce1 0.000 0.000 0.000 1
Tm1 0.100 0.697 0.500 1
N1 0.000 0.000 0.500 1
N2 0.099 0.698 0.000 1
# Crystal system: tetragonal



Computed values of formation energy (no corrections) (unit: eV/atom) for the preceding records, in sequence: -1.556 -1.559 -1.554 -1.462 -1.564 -1.264 -0.932 -1.183 -1.353 -1.411 -1.353 -0.834 -0.625 -0.978 -0.832 -0.630 -0.511 -0.532 -0.851 -1.748.